[1]
A relaxed structure of Al2TcPb, computed with PBE.

Cell lengths 3.432, 4.528, 4.617 Å; angles 90.00, 90.00, 90.00 degrees
Fractional positions:
Al 0.000 0.000 0.000
Al 0.500 0.500 0.000
Tc 0.000 0.500 0.500
Pb 0.500 0.000 0.500

Results
Its calculated density is 8.3 g/cm³. Its total energy is -0.366 Ry/atom. The size of the total moment is 0.0 μB per cell. The formation energy is 0.414 eV per atom.

[2]
A relaxed structure of Al2TcPb, computed with PBE.

Cell lengths 5.103, 5.103, 5.103 Å; angles 132.90, 132.90, 68.81 degrees
Fractional positions:
Al 0.250 0.750 0.500
Al 0.750 0.250 0.500
Tc 0.000 0.000 0.000
Pb 0.500 0.500 0.000

Results
Its calculated density is 8.5 g/cm³. Its total energy is -0.373 Ry/atom. The size of the total moment is 0.0 μB per cell. The formation energy is 0.316 eV per atom.